A relaxed structure of Pm8TeRh3I4. Source: Alexandria, functional PBE.

Computed properties:
The total energy comes out at -253.68 eV for the cell shown. The value obtained for the density of states at the Fermi level is 26.3 states/eV per cell. Its formation energy (no corrections) is -15.16 eV/f.u. As for the magnetization: 0.00 μB/f.u. The calculation puts the volume at 31.8 Å³ per atom.

CIF file:
```
data_Pm8TeRh3I4
_chemical_formula_sum 'Pm24 Te3 Rh9 I12'
_cell_length_a 8.6004
_cell_length_b 8.6004
_cell_length_c 23.8640
_cell_angle_alpha 90.00
_cell_angle_beta 90.00
_cell_angle_gamma 120.00
_symmetry_space_group_name_H-M 'R -3 m'
_symmetry_Int_Tables_number 166
_symmetry_space_group_name_Hall '-R 3 2"'
loop_
_atom_site_label
_atom_site_type_symbol
_atom_site_fract_x
_atom_site_fract_y
_atom_site_fract_z
Pm1 Pm 0.0000 0.0000 0.2284
Pm2 Pm 0.0305 0.5152 0.7700
Te1 Te 0.0000 0.0000 0.5000
Rh1 Rh 0.0000 0.5000 0.5000
I1 I 0.0000 0.0000 0.0000
I2 I 0.0000 0.5000 0.0000
```

A relaxed structure of PmYRhI. Source: Alexandria, functional PBE.

Computed properties:
The total energy comes out at -71.46 eV for the cell shown. The value obtained for the density of states at the Fermi level is 1.1 states/eV per cell. Its formation energy (no corrections) is -3.70 eV/f.u. As for the magnetization: 0.00 μB/f.u. The calculation puts the volume at 29.5 Å³ per atom.

CIF file:
```
data_PmYRhI
_chemical_formula_sum 'Pm3 Y3 Rh3 I3'
_cell_length_a 4.1167
_cell_length_b 4.1167
_cell_length_c 24.0945
_cell_angle_alpha 90.00
_cell_angle_beta 90.00
_cell_angle_gamma 120.00
_symmetry_space_group_name_H-M 'R 3 m'
_symmetry_Int_Tables_number 160
_symmetry_space_group_name_Hall 'R 3 -2"'
loop_
_atom_site_label
_atom_site_type_symbol
_atom_site_fract_x
_atom_site_fract_y
_atom_site_fract_z
Pm1 Pm 0.0000 0.0000 0.0000
Y1 Y 0.0000 0.0000 0.7887
Rh1 Rh 0.0000 0.0000 0.3956
I1 I 0.0000 0.0000 0.2239
```

A relaxed structure of Pm6ZnRh2I3. Source: Alexandria, functional PBE.

Computed properties:
The total energy comes out at -117.45 eV for the cell shown. The value obtained for the density of states at the Fermi level is 15.7 states/eV per cell. Its formation energy (no corrections) is -9.60 eV/f.u. As for the magnetization: 0.00 μB/f.u. The calculation puts the volume at 30.9 Å³ per atom.

CIF file:
```
data_Pm6ZnRh2I3
_chemical_formula_sum 'Pm12 Zn2 Rh4 I6'
_cell_length_a 7.300
_cell_length_b 12.634
_cell_length_c 8.412
_cell_angle_alpha 90.00
_cell_angle_beta 106.83
_cell_angle_gamma 90.00
_symmetry_space_group_name_H-M 'C 1 2/m 1'
_symmetry_Int_Tables_number 12
_symmetry_space_group_name_Hall '-C 2y'
loop_
_atom_site_label
_atom_site_type_symbol
_atom_site_fract_x
_atom_site_fract_y
_atom_site_fract_z
Pm1 Pm 0.213 0.000 0.189
Pm2 Pm 0.238 0.325 0.190
Zn1 Zn 0.000 0.500 0.000
Rh1 Rh 0.000 0.167 0.000
I1 I 0.000 0.000 0.500
I2 I 0.000 0.336 0.500
```

A relaxed structure of Pm8ZnRh3I4. Source: Alexandria, functional PBE.

Computed properties:
The total energy comes out at -242.43 eV for the cell shown. The value obtained for the density of states at the Fermi level is 34.4 states/eV per cell. Its formation energy (no corrections) is -13.28 eV/f.u. As for the magnetization: 0.00 μB/f.u. The calculation puts the volume at 30.8 Å³ per atom.

CIF file:
```
data_Pm8ZnRh3I4
_chemical_formula_sum 'Pm24 Zn3 Rh9 I12'
_cell_length_a 8.4110
_cell_length_b 8.4110
_cell_length_c 24.1413
_cell_angle_alpha 90.00
_cell_angle_beta 90.00
_cell_angle_gamma 120.00
_symmetry_space_group_name_H-M 'R -3 m'
_symmetry_Int_Tables_number 166
_symmetry_space_group_name_Hall '-R 3 2"'
loop_
_atom_site_label
_atom_site_type_symbol
_atom_site_fract_x
_atom_site_fract_y
_atom_site_fract_z
Pm1 Pm 0.0000 0.0000 0.2298
Pm2 Pm 0.0135 0.5068 0.7713
Zn1 Zn 0.0000 0.0000 0.5000
Rh1 Rh 0.0000 0.5000 0.5000
I1 I 0.0000 0.0000 0.0000
I2 I 0.0000 0.5000 0.0000
```

A relaxed structure of Pm3RuI2. Source: Alexandria, functional PBE.

Computed properties:
The total energy comes out at -61.83 eV for the cell shown. The value obtained for the density of states at the Fermi level is 10.6 states/eV per cell. Its formation energy (no corrections) is -4.29 eV/f.u. As for the magnetization: 0.00 μB/f.u. The calculation puts the volume at 31.7 Å³ per atom.

CIF file:
```
data_Pm3RuI2
_chemical_formula_sum 'Pm6 Ru2 I4'
_cell_length_a 4.060
_cell_length_b 6.079
_cell_length_c 15.391
_cell_angle_alpha 90.00
_cell_angle_beta 90.00
_cell_angle_gamma 90.00
_symmetry_space_group_name_H-M 'I m m m'
_symmetry_Int_Tables_number 71
_symmetry_space_group_name_Hall '-I 2 2'
loop_
_atom_site_label
_atom_site_type_symbol
_atom_site_fract_x
_atom_site_fract_y
_atom_site_fract_z
Pm1 Pm 0.000 0.000 0.000
Pm2 Pm 0.000 0.000 0.382
Ru1 Ru 0.000 0.500 0.000
I1 I 0.000 0.500 0.313
```

A relaxed structure of Pm4RuI3. Source: Alexandria, functional PBE.

Computed properties:
The total energy comes out at -75.49 eV for the cell shown. The value obtained for the density of states at the Fermi level is 13.7 states/eV per cell. Its formation energy (no corrections) is -4.81 eV/f.u. As for the magnetization: 0.00 μB/f.u. The calculation puts the volume at 32.2 Å³ per atom.

CIF file:
```
data_Pm4RuI3
_chemical_formula_sum 'Pm8 Ru2 I6'
_cell_length_a 6.227
_cell_length_b 13.153
_cell_length_c 6.281
_cell_angle_alpha 90.00
_cell_angle_beta 90.00
_cell_angle_gamma 90.00
_symmetry_space_group_name_H-M 'P m m n'
_symmetry_Int_Tables_number 59
loop_
_symmetry_equiv_pos_as_xyz
'x,y,z'
'-x,-y,-z'
'-x+1/2,-y+1/2,z'
'x+1/2,y+1/2,-z'
'x+1/2,-y,-z'
'-x+1/2,y,z'
'-x,y+1/2,-z'
'x,-y+1/2,z'
loop_
_atom_site_label
_atom_site_type_symbol
_atom_site_fract_x
_atom_site_fract_y
_atom_site_fract_z
Pm1 Pm 0.250 0.056 0.204
Pm2 Pm 0.250 0.250 0.726
Pm3 Pm 0.250 0.750 0.805
Ru1 Ru 0.250 0.250 0.207
I1 I 0.250 0.502 0.707
I2 I 0.250 0.750 0.304
```

A relaxed structure of Pm4RuI5. Source: Alexandria, functional PBE.

Computed properties:
The total energy comes out at -93.83 eV for the cell shown. The value obtained for the density of states at the Fermi level is 11.6 states/eV per cell. Its formation energy (no corrections) is -10.89 eV/f.u. As for the magnetization: 0.00 μB/f.u. The calculation puts the volume at 37.4 Å³ per atom.

CIF file:
```
data_Pm4RuI5
_chemical_formula_sum 'Pm8 Ru2 I10'
_cell_length_a 19.599
_cell_length_b 4.230
_cell_length_c 9.276
_cell_angle_alpha 90.00
_cell_angle_beta 103.33
_cell_angle_gamma 90.00
_symmetry_space_group_name_H-M 'C 1 2/m 1'
_symmetry_Int_Tables_number 12
_symmetry_space_group_name_Hall '-C 2y'
loop_
_atom_site_label
_atom_site_type_symbol
_atom_site_fract_x
_atom_site_fract_y
_atom_site_fract_z
Pm1 Pm 0.000 0.000 0.209
Pm2 Pm 0.140 0.500 0.073
Ru1 Ru 0.000 0.500 0.000
I1 I 0.000 0.500 0.500
I2 I 0.168 0.000 0.340
I3 I 0.174 0.000 0.832
```

A relaxed structure of Pm4Ru2I5. Source: Alexandria, functional PBE.

Computed properties:
The total energy comes out at -107.47 eV for the cell shown. The value obtained for the density of states at the Fermi level is 9.1 states/eV per cell. Its formation energy (no corrections) is -8.43 eV/f.u. For the polymorph energy (0 for the lowest one), the calculation gives 0 meV/atom. As for the magnetization: 0.00 μB/f.u. The calculation puts the volume at 38.0 Å³ per atom.

CIF file:
```
data_Pm4Ru2I5
_chemical_formula_sum 'Pm8 Ru4 I10'
_cell_length_a 22.730
_cell_length_b 4.219
_cell_length_c 8.763
_cell_angle_alpha 90.00
_cell_angle_beta 96.50
_cell_angle_gamma 90.00
_symmetry_space_group_name_H-M 'C 1 2/m 1'
_symmetry_Int_Tables_number 12
_symmetry_space_group_name_Hall '-C 2y'
loop_
_atom_site_label
_atom_site_type_symbol
_atom_site_fract_x
_atom_site_fract_y
_atom_site_fract_z
Pm1 Pm 0.028 0.000 0.209
Pm2 Pm 0.160 0.500 0.077
Ru1 Ru 0.054 0.500 0.003
I1 I 0.000 0.500 0.500
I2 I 0.165 0.000 0.352
I3 I 0.194 0.000 0.828
```

A relaxed structure of Pm4Ru2I5. Source: Alexandria, functional PBE.

Computed properties:
The total energy comes out at -105.99 eV for the cell shown. The value obtained for the density of states at the Fermi level is 9.5 states/eV per cell. Its formation energy (no corrections) is -7.69 eV/f.u. For the polymorph energy (0 for the lowest one), the calculation gives 67 meV/atom. As for the magnetization: 0.00 μB/f.u. The calculation puts the volume at 34.4 Å³ per atom.

CIF file:
```
data_Pm4Ru2I5
_chemical_formula_sum 'Pm8 Ru4 I10'
_cell_length_a 4.252
_cell_length_b 8.812
_cell_length_c 20.173
_cell_angle_alpha 90.00
_cell_angle_beta 90.00
_cell_angle_gamma 90.00
_symmetry_space_group_name_H-M 'I m m m'
_symmetry_Int_Tables_number 71
_symmetry_space_group_name_Hall '-I 2 2'
loop_
_atom_site_label
_atom_site_type_symbol
_atom_site_fract_x
_atom_site_fract_y
_atom_site_fract_z
Pm1 Pm 0.000 0.000 0.179
Pm2 Pm 0.000 0.296 0.500
Ru1 Ru 0.000 0.000 0.059
I1 I 0.000 0.224 0.333
I2 I 0.000 0.500 0.000
```

A relaxed structure of Pm4RuSI2. Source: Alexandria, functional PBE.

Computed properties:
The total energy comes out at -43.94 eV for the cell shown. The value obtained for the density of states at the Fermi level is 5.6 states/eV per cell. Its formation energy (no corrections) is -8.44 eV/f.u. As for the magnetization: 0.00 μB/f.u. The calculation puts the volume at 29.9 Å³ per atom.

CIF file:
```
data_Pm4RuSI2
_chemical_formula_sum 'Pm4 Ru1 S1 I2'
_cell_length_a 7.474
_cell_length_b 4.085
_cell_length_c 8.165
_cell_angle_alpha 90.00
_cell_angle_beta 106.19
_cell_angle_gamma 90.00
_symmetry_space_group_name_H-M 'P 1 2/m 1'
_symmetry_Int_Tables_number 10
_symmetry_space_group_name_Hall '-P 2y'
loop_
_atom_site_label
_atom_site_type_symbol
_atom_site_fract_x
_atom_site_fract_y
_atom_site_fract_z
Pm1 Pm 0.214 0.000 0.187
Pm2 Pm 0.262 0.500 0.816
Ru1 Ru 0.000 0.500 0.000
S1 S 0.500 0.000 0.000
I1 I 0.000 0.000 0.500
I2 I 0.500 0.500 0.500
```

A relaxed structure of Pm6Ru2SeI3. Source: Alexandria, functional PBE.

Computed properties:
The total energy comes out at -132.53 eV for the cell shown. The value obtained for the density of states at the Fermi level is 19.0 states/eV per cell. Its formation energy (no corrections) is -11.08 eV/f.u. As for the magnetization: 0.00 μB/f.u. The calculation puts the volume at 30.9 Å³ per atom.

CIF file:
```
data_Pm6Ru2SeI3
_chemical_formula_sum 'Pm12 Ru4 Se2 I6'
_cell_length_a 7.329
_cell_length_b 12.685
_cell_length_c 8.333
_cell_angle_alpha 90.00
_cell_angle_beta 107.03
_cell_angle_gamma 90.00
_symmetry_space_group_name_H-M 'C 1 2/m 1'
_symmetry_Int_Tables_number 12
_symmetry_space_group_name_Hall '-C 2y'
loop_
_atom_site_label
_atom_site_type_symbol
_atom_site_fract_x
_atom_site_fract_y
_atom_site_fract_z
Pm1 Pm 0.206 0.000 0.187
Pm2 Pm 0.240 0.322 0.188
Ru1 Ru 0.000 0.167 0.000
Se1 Se 0.000 0.500 0.000
I1 I 0.000 0.000 0.500
I2 I 0.000 0.337 0.500
```

- The lowest formation energy (no corrections) belongs to which entry?
  Pm8TeRh3I4

- What is the magnetization in the eleventh record?
  0.00 μB/f.u.

Copy entry 2 word for word.
A relaxed structure of PmYRhI. Source: Alexandria, functional PBE.

Computed properties:
The total energy comes out at -71.46 eV for the cell shown. The value obtained for the density of states at the Fermi level is 1.1 states/eV per cell. Its formation energy (no corrections) is -3.70 eV/f.u. As for the magnetization: 0.00 μB/f.u. The calculation puts the volume at 29.5 Å³ per atom.

CIF file:
```
data_PmYRhI
_chemical_formula_sum 'Pm3 Y3 Rh3 I3'
_cell_length_a 4.1167
_cell_length_b 4.1167
_cell_length_c 24.0945
_cell_angle_alpha 90.00
_cell_angle_beta 90.00
_cell_angle_gamma 120.00
_symmetry_space_group_name_H-M 'R 3 m'
_symmetry_Int_Tables_number 160
_symmetry_space_group_name_Hall 'R 3 -2"'
loop_
_atom_site_label
_atom_site_type_symbol
_atom_site_fract_x
_atom_site_fract_y
_atom_site_fract_z
Pm1 Pm 0.0000 0.0000 0.0000
Y1 Y 0.0000 0.0000 0.7887
Rh1 Rh 0.0000 0.0000 0.3956
I1 I 0.0000 0.0000 0.2239
```

- Among the records above, which one has the lowest total energy?
  Pm8TeRh3I4